1.
# Sr3Ag

Crystalline Sr3Ag at its relaxed geometry (PBE, the Alexandria database).

Cell lengths 7.5216, 7.5216, 7.5216 Å; angles 148.04, 130.25, 60.36 degrees
Atoms (fractional coordinates):
Sr 0.0000 0.0000 0.0000
Sr 0.3064 0.8064 0.5000
Sr 0.6936 0.1936 0.5000
Ag 0.5000 0.5000 0.0000

Summary:
ΔE to the lowest computed polymorph, eV per atom: 0.087

2.
# SrAg2

Crystalline SrAg2 at its relaxed geometry (PBE, the Alexandria database).

Cell lengths 3.9932, 3.9932, 5.3724 Å; angles 90.00, 90.00, 90.00 degrees
Atoms (fractional coordinates):
Sr 0.0000 0.0000 0.0000
Ag 0.0000 0.5000 0.5000
Ag 0.5000 0.0000 0.5000

3.
# Sr3Ag

Crystalline Sr3Ag at its relaxed geometry (PBE, the Alexandria database).

Cell lengths 7.0452, 7.0452, 7.0452 Å; angles 136.03, 136.03, 63.94 degrees
Atoms (fractional coordinates):
Sr 0.0000 0.0000 0.0000
Sr 0.2500 0.7500 0.5000
Sr 0.7500 0.2500 0.5000
Ag 0.5000 0.5000 0.0000

Summary:
ΔE to the lowest computed polymorph, eV per atom: 0.230

4.
# SrAg7

Crystalline SrAg7 at its relaxed geometry (PBE, the Alexandria database).

Cell lengths 6.1210, 6.1210, 6.1210 Å; angles 60.00, 60.00, 60.00 degrees
Atoms (fractional coordinates):
Sr 0.0000 0.0000 0.0000
Ag 0.0000 0.0000 0.5000
Ag 0.0000 0.5000 0.0000
Ag 0.0000 0.5000 0.5000
Ag 0.5000 0.0000 0.0000
Ag 0.5000 0.0000 0.5000
Ag 0.5000 0.5000 0.0000
Ag 0.5000 0.5000 0.5000

5.
# Sr4Ag5

Crystalline Sr4Ag5 at its relaxed geometry (PBE, the Alexandria database).

Cell lengths 8.3236, 8.3236, 8.3236 Å; angles 94.54, 94.54, 147.31 degrees
Atoms (fractional coordinates):
Sr 0.0000 0.2766 0.2766
Sr 0.0000 0.7234 0.7234
Sr 0.2766 0.0000 0.2766
Sr 0.7234 0.0000 0.7234
Ag 0.0000 0.0000 0.0000
Ag 0.3015 0.3015 0.6031
Ag 0.3015 0.6985 0.0000
Ag 0.6985 0.3015 0.0000
Ag 0.6985 0.6985 0.3969

6.
# SrAg3

Crystalline SrAg3 at its relaxed geometry (PBE, the Alexandria database).

Cell lengths 8.3796, 7.8811, 5.8888 Å; angles 90.00, 90.00, 90.00 degrees
Atoms (fractional coordinates):
Sr 0.0351 0.2500 0.1213
Sr 0.4649 0.7500 0.6213
Sr 0.5351 0.2500 0.3787
Sr 0.9649 0.7500 0.8787
Ag 0.1195 0.7500 0.3668
Ag 0.1730 0.0598 0.5897
Ag 0.1730 0.4402 0.5897
Ag 0.3270 0.5598 0.0897
Ag 0.3270 0.9402 0.0897
Ag 0.3805 0.2500 0.8668
Ag 0.6195 0.7500 0.1332
Ag 0.6730 0.0598 0.9103
Ag 0.6730 0.4402 0.9103
Ag 0.8270 0.5598 0.4103
Ag 0.8270 0.9402 0.4103
Ag 0.8805 0.2500 0.6332

7.
# SrAg

Crystalline SrAg at its relaxed geometry (PBE, the Alexandria database).

Cell lengths 41.9599, 4.7791, 6.4221 Å; angles 90.00, 90.00, 90.00 degrees
Atoms (fractional coordinates):
Sr 0.0359 0.2500 0.1311
Sr 0.0638 0.7500 0.6309
Sr 0.1360 0.2500 0.3657
Sr 0.1638 0.7500 0.8746
Sr 0.2360 0.2500 0.6099
Sr 0.2640 0.7500 0.1099
Sr 0.3362 0.2500 0.3746
Sr 0.3640 0.7500 0.8657
Sr 0.4362 0.2500 0.1309
Sr 0.4641 0.7500 0.6311
Sr 0.5359 0.2500 0.3689
Sr 0.5638 0.7500 0.8691
Sr 0.6360 0.2500 0.1343
Sr 0.6638 0.7500 0.6254
Sr 0.7360 0.2500 0.8901
Sr 0.7640 0.7500 0.3901
Sr 0.8362 0.2500 0.1254
Sr 0.8640 0.7500 0.6343
Sr 0.9362 0.2500 0.3691
Sr 0.9641 0.7500 0.8689
Ag 0.0070 0.2500 0.6240
Ag 0.0928 0.7500 0.1233
Ag 0.1069 0.2500 0.8740
Ag 0.1931 0.7500 0.3662
Ag 0.2071 0.2500 0.1170
Ag 0.2929 0.7500 0.6170
Ag 0.3069 0.2500 0.8662
Ag 0.3931 0.7500 0.3740
Ag 0.4072 0.2500 0.6233
Ag 0.4930 0.7500 0.1240
Ag 0.5070 0.2500 0.8760
Ag 0.5928 0.7500 0.3767
Ag 0.6069 0.2500 0.6260
Ag 0.6931 0.7500 0.1338
Ag 0.7071 0.2500 0.3830
Ag 0.7929 0.7500 0.8830
Ag 0.8069 0.2500 0.6338
Ag 0.8931 0.7500 0.1260
Ag 0.9072 0.2500 0.8767
Ag 0.9930 0.7500 0.3760

8.
# SrAg

Crystalline SrAg at its relaxed geometry (PBE, the Alexandria database).

Cell lengths 16.7701, 4.7815, 6.4253 Å; angles 90.00, 90.00, 90.00 degrees
Atoms (fractional coordinates):
Sr 0.0348 0.2500 0.2459
Sr 0.2149 0.7500 0.5120
Sr 0.2851 0.2500 0.0120
Sr 0.4652 0.7500 0.7459
Sr 0.5348 0.2500 0.2541
Sr 0.7149 0.7500 0.9880
Sr 0.7851 0.2500 0.4880
Sr 0.9652 0.7500 0.7541
Ag 0.1076 0.2500 0.7552
Ag 0.1430 0.7500 0.0044
Ag 0.3570 0.2500 0.5044
Ag 0.3924 0.7500 0.2552
Ag 0.6076 0.2500 0.7448
Ag 0.6430 0.7500 0.4956
Ag 0.8570 0.2500 0.9956
Ag 0.8924 0.7500 0.2448

Number 1: formation enthalpy at 0 K -0.35 eV per formula unit, DFT total energy -2.062 eV/atom. Number 2: formation enthalpy at 0 K -0.20 eV per formula unit, DFT total energy -2.529 eV/atom. Number 3: formation enthalpy at 0 K 0.22 eV per formula unit, DFT total energy -1.918 eV/atom. Number 4: formation enthalpy at 0 K 0.29 eV per formula unit, DFT total energy -2.669 eV/atom. Number 5: formation enthalpy at 0 K -1.10 eV per formula unit, DFT total energy -2.454 eV/atom. Number 6: formation enthalpy at 0 K -0.84 eV per formula unit, DFT total energy -2.768 eV/atom. Number 7: formation enthalpy at 0 K -0.63 eV per formula unit, DFT total energy -2.582 eV/atom. Number 8: formation enthalpy at 0 K -0.63 eV per formula unit, DFT total energy -2.581 eV/atom.